1.
This record from the Alexandria database describes a geometry-optimized BaTiPt2 structure. The functional is PBE.

POSCAR file:
```
BaTiPt2
1.0
-3.2622 0.1717 0.4906
-0.0078 -3.1336 1.0452
1.2301 2.4405 7.3256
Ti Pt Ba
1 2 1
direct
0.5000 0.5000 0.0000
0.0000 0.0000 0.1789
0.0000 0.0000 0.8211
0.5000 0.5000 0.5000
```

Total energy = -6.140 eV per atom

***

2.
This record from the Alexandria database describes a geometry-optimized Ba2TiPt structure. The functional is PBE.

POSCAR file:
```
Ba2TiPt
1.0
-6.5016 7.2579 6.8986
-8.7810 -0.1791 -8.0872
-8.6389 1.5748 0.5324
Ba Ti Pt
4 2 2
direct
0.9597 0.6250 0.2500
0.8750 0.0403 0.7500
0.3750 0.2097 0.7500
0.7903 0.1250 0.2500
0.5000 0.5000 0.0000
0.2500 0.7500 0.5000
0.7500 0.2500 0.5000
0.0000 0.0000 0.0000
```

Total energy = -4.442 eV per atom

***

3.
This record from the Alexandria database describes a geometry-optimized Ba2TiPt structure. The functional is PBE.

POSCAR file:
```
Ba2TiPt
1.0
0.0000 3.9329 3.9329
3.9329 0.0000 3.9329
3.9329 3.9329 0.0000
Ba Ti Pt
2 1 1
direct
0.7500 0.7500 0.7500
0.2500 0.2500 0.2500
0.0000 0.0000 0.0000
0.5000 0.5000 0.5000
```

Total energy = -3.996 eV per atom

***

4.
This record from the Alexandria database describes a geometry-optimized BaTiPt2 structure. The functional is PBE.

POSCAR file:
```
BaTiPt2
1.0
-0.3340 5.4216 -5.2992
4.9777 -3.8440 -4.2465
-0.4259 -0.9713 -6.4005
Pt Ti Ba
4 2 2
direct
0.2099 0.6250 0.2500
0.8750 0.7901 0.7500
0.3750 0.4599 0.7500
0.5401 0.1250 0.2500
0.5000 0.5000 0.0000
0.2500 0.7500 0.5000
0.7500 0.2500 0.5000
0.0000 0.0000 0.0000
```

Total energy = -5.837 eV per atom

***

5.
This record from the Alexandria database describes a geometry-optimized Ba11TlPt2 structure. The functional is PBE.

POSCAR file:
```
Ba11TlPt2
1.0
1.2707 3.1864 13.5143
-9.3484 -2.2588 8.6041
4.1864 -8.4648 8.7947
Ba Tl Pt
22 2 4
direct
0.7658 0.6029 0.0787
0.5882 0.1545 0.0995
0.9474 0.8971 0.4213
0.0000 0.0000 0.0000
0.4474 0.9213 0.3971
0.2658 0.5787 0.1029
0.1578 0.0995 0.1545
0.6501 0.2691 0.7309
0.3422 0.3455 0.4005
0.5526 0.0787 0.6029
0.4118 0.8455 0.9005
0.1501 0.2309 0.7691
0.2342 0.3971 0.9213
0.5000 0.5000 0.5000
0.7342 0.4213 0.8971
0.6578 0.6545 0.5995
0.8499 0.7691 0.2309
0.0882 0.5995 0.6545
0.8422 0.9005 0.8455
0.3499 0.7309 0.2691
0.0526 0.1029 0.5787
0.9118 0.4005 0.3455
0.7500 0.7500 0.7500
0.2500 0.2500 0.2500
0.6696 0.6479 0.3521
0.3304 0.3521 0.6479
0.8304 0.1479 0.8521
0.1696 0.8521 0.1479
```

Total energy = -2.716 eV per atom

***

6.
This record from the Alexandria database describes a geometry-optimized Ba3Tl3Pt2 structure. The functional is PBE.

POSCAR file:
```
Ba3Tl3Pt2
1.0
-4.3358 0.8182 1.1628
2.4447 -4.9085 3.6163
5.6283 12.0291 12.5225
Tl Ba Pt
6 6 4
direct
0.6581 0.3161 0.0383
0.3419 0.6839 0.5383
0.3419 0.6839 0.9617
0.6581 0.3161 0.4617
0.3747 0.7494 0.2500
0.6253 0.2506 0.7500
0.0603 0.1205 0.8960
0.9397 0.8795 0.1040
0.3360 0.6721 0.7500
0.0603 0.1205 0.6040
0.6640 0.3279 0.2500
0.9397 0.8795 0.3960
0.2416 0.4832 0.3825
0.7584 0.5168 0.8825
0.2416 0.4832 0.1175
0.7584 0.5168 0.6175
```

Total energy = -3.638 eV per atom

***

Q: Among the records above, which one has the lowest total energy?
A: number 1